Hf3POs: single point on PBEsol structure, SCAN.

Properties
Calculated formation energy ... 0.55 eV/f.u.
Crystal system ... cubic
Space group ... Pm-3m

```
Hf3POs
1.0
4.6492 0.0000 0.0000
0.0000 4.6492 0.0000
0.0000 0.0000 4.6492
Hf Os P
3 1 1
Direct
0.0000 0.5000 0.0000
0.0000 0.0000 0.5000
0.5000 0.0000 0.0000
0.5000 0.5000 0.5000
0.0000 0.0000 0.0000
```

---

Zr2Fe2Tc: single point on PBEsol structure, SCAN.

Properties
Calculated formation energy ... 0.40 eV/f.u.
Crystal system ... tetragonal
Space group ... I4/mmm

```
Zr2Fe2Tc
1.0
3.2186 0.0000 0.0000
0.0000 3.2186 0.0000
-1.6093 -1.6093 7.7583
Tc Zr Fe
1 2 2
Direct
0.0000 0.0000 0.0000
0.3969 0.3969 0.7939
0.6031 0.6031 0.2061
0.2500 0.7500 0.5000
0.7500 0.2500 0.5000
```

---

K2FeOs: single point on PBEsol structure, SCAN.

Properties
Calculated formation energy ... 5.29 eV/f.u.
Crystal system ... trigonal
Relative energy among the computed polymorphs ... 581 meV per atom
Space group ... R-3m

```
K2FeOs
1.0
2.7679 0.0000 0.0000
1.3839 2.3970 0.0000
1.3839 0.7990 11.4107
Fe K Os
1 2 1
Direct
0.0000 0.0000 0.0000
0.2486 0.2486 0.2542
0.7514 0.7514 0.7458
0.5000 0.5000 0.5000
```

---

Tl2ZnOs: single point on PBEsol structure, SCAN.

Properties
Calculated formation energy ... 3.70 eV/f.u.
Crystal system ... tetragonal
Relative energy among the computed polymorphs ... 312 meV per atom
Space group ... P4/mmm

```
Tl2ZnOs
1.0
-0.2910 -0.1374 -3.0368
-1.5932 -2.5912 0.2699
-7.0706 4.3971 0.4786
Os Tl Zn
1 2 1
Direct
0.5000 0.5000 0.5000
0.0000 0.0000 0.7310
0.0000 0.0000 0.2690
0.5000 0.5000 0.0000
```

---

Hf2SiIrO: single point on PBEsol structure, SCAN.

Properties
Crystal system ... tetragonal
Formation energy from raw total energies ... -5.19 kcal/mol of atoms
Space group ... P4/mmm

```
Hf2SiIrO
1.0
-1.7364 2.7209 -0.8471
-4.2289 -2.6879 0.0350
-0.6537 1.0917 4.8466
Si Ir Hf O
1 1 2 1
Direct
0.0000 0.0000 0.0000
0.5000 0.5000 0.5000
0.0000 0.0000 0.5000
0.0000 0.5000 0.0000
0.5000 0.0000 0.0000
```

---

KRe2Ni: single point on PBEsol structure, SCAN.

Properties
Calculated formation energy ... 5.35 eV/f.u.
Crystal system ... monoclinic
Relative energy among the computed polymorphs ... 608 meV per atom
Space group ... C2/m

```
KRe2Ni
1.0
2.5656 0.0011 0.0000
-0.9201 4.9455 0.0000
-0.8228 -2.4733 5.0879
K Ni Re
1 1 2
Direct
0.5000 0.0000 0.0000
0.0000 0.5000 0.0000
0.0000 0.0000 0.5000
0.5000 0.5000 0.5000
```

---

Number 1: volume 100.49 Å³/cell. Number 2: volume 80.37 Å³/cell. Number 3: volume 75.71 Å³/cell. Number 4: volume 77.78 Å³/cell. Number 5: volume 83.79 Å³/cell. Number 6: volume 64.56 Å³/cell.